VASP calculation (GGA-PBE) on a relaxed structure of Tb5ScCu4.

Cell and atoms, written as extended XYZ:
```
10
Lattice="3.4745 0.0000 0.0000 0.0000 3.4745 0.0000 0.0000 0.0000 18.7137" Properties=species:S:1:pos:R:3 pbc="T T T"
Tb 0.0000 0.0000 0.0000
Tb 0.0000 0.0000 3.5127
Tb 0.0000 0.0000 6.9859
Tb 0.0000 0.0000 11.7278
Tb 0.0000 0.0000 15.2010
Sc 1.7372 1.7372 9.3568
Cu 1.7372 1.7372 1.7440
Cu 1.7372 1.7372 5.2614
Cu 1.7372 1.7372 13.4523
Cu 1.7372 1.7372 16.9697
```

Values from the calculation:
Calculated formation energy   -0.1763 eV/atom
Raw total energy   -4.76 eV/atom

---

VASP calculation (GGA-PBE) on a relaxed structure of SrPmTm2S4.

Cell and atoms, written as extended XYZ:
```
8
Lattice="6.8963 0.0000 0.0000 0.0000 3.9490 0.0000 -2.2531 0.0000 6.5667" Properties=species:S:1:pos:R:3 pbc="T T T"
Sr 0.0000 0.0000 0.0000
Pm 3.4481 1.9745 0.0000
Tm -1.1265 1.9745 3.2834
Tm 2.3216 0.0000 3.2834
S 0.0493 0.0000 4.7931
S 1.1812 1.9745 1.7919
S 3.4620 1.9745 4.7749
S 4.5939 0.0000 1.7736
```

Values from the calculation:
Uncorrected formation energy   -1.986 eV per atom
Raw total energy   -5.97 eV/atom

---

VASP calculation (GGA-PBE) on a relaxed structure of HfMgW3.

Cell and atoms, written as extended XYZ:
```
5
Lattice="4.8388 0.0000 0.0000 0.0000 4.8388 0.0000 0.0000 0.0000 4.8388" Properties=species:S:1:pos:R:3 pbc="T T T"
Hf 0.0000 0.0000 0.0000
Mg 2.4194 2.4194 2.4194
W 0.0000 0.0000 2.4194
W 0.0000 2.4194 0.0000
W 2.4194 0.0000 0.0000
```

Values from the calculation:
Excess energy over the best structure of this formula in the dataset   0.174 eV per atom
Calculated formation energy   2.2509 eV/atom
Raw total energy   -7.83 eV/atom

---

VASP calculation (GGA-PBE) on a relaxed structure of Dy5GaRu4.

Cell and atoms, written as extended XYZ:
```
10
Lattice="3.4327 0.0000 0.0000 0.0000 3.4327 0.0000 0.0000 0.0000 17.2524" Properties=species:S:1:pos:R:3 pbc="T T T"
Dy 0.0000 0.0000 0.0000
Dy 0.0000 0.0000 3.3611
Dy 0.0000 0.0000 6.7153
Dy 0.0000 0.0000 10.5371
Dy 0.0000 0.0000 13.8913
Ga 1.7163 1.7163 8.6262
Ru 1.7163 1.7163 1.7025
Ru 1.7163 1.7163 5.1293
Ru 1.7163 1.7163 12.1231
Ru 1.7163 1.7163 15.5498
```

Values from the calculation:
Calculated formation energy   -0.4067 eV/atom
Raw total energy   -6.72 eV/atom

---

VASP calculation (GGA-PBE) on a relaxed structure of MgSbRh.

Cell and atoms, written as extended XYZ:
```
3
Lattice="3.3209 0.0000 0.0000 -1.6604 2.8760 0.0000 0.0000 0.0000 6.3677" Properties=species:S:1:pos:R:3 pbc="T T T"
Mg 0.0000 0.0000 0.0000
Sb 0.0000 1.9173 3.7498
Rh 1.6604 0.9587 1.9477
```

Values from the calculation:
Uncorrected formation energy   -0.283 eV per atom
Raw total energy   -4.64 eV/atom

---

VASP calculation (GGA-PBE) on a relaxed structure of Ac2La5Ga4.

Cell and atoms, written as extended XYZ:
```
11
Lattice="7.9065 -3.4031 0.0000 7.9065 3.4031 0.0000 -1.6144 0.0000 6.6055" Properties=species:S:1:pos:R:3 pbc="T T T"
Ac 2.9106 0.0000 0.6732
Ac 11.2881 0.0000 5.9323
La 5.3314 1.7750 3.0014
La 8.8673 1.7750 3.6041
La 7.9065 0.0000 0.0000
La 5.3314 -1.7750 3.0014
La 8.8673 -1.7750 3.6041
Ga -1.2692 0.0000 5.3457
Ga 3.4888 0.0000 4.8320
Ga 10.7099 0.0000 1.7735
Ga 15.4679 0.0000 1.2598
```

Values from the calculation:
Calculated formation energy   -0.3638 eV/atom
Raw total energy   -4.45 eV/atom